w) VASP calculation (PBE-GGA) on crystalline Rb3HgI3 at its relaxed geometry.

The structure in extended XYZ format:
```
14
Lattice="10.1670 0.0000 0.0000 0.0000 10.1670 0.0000 0.0000 0.0000 10.1670" Properties=species:S:1:pos:R:3 pbc="T T T"
Rb 0.0000 2.5417 5.0835
Rb 0.0000 7.6252 5.0835
Rb 2.5417 5.0835 0.0000
Rb 5.0835 0.0000 2.5417
Rb 5.0835 0.0000 7.6252
Rb 7.6252 5.0835 0.0000
Hg 0.0000 0.0000 0.0000
Hg 5.0835 5.0835 5.0835
I 0.0000 5.0835 2.5417
I 0.0000 5.0835 7.6252
I 2.5417 0.0000 5.0835
I 5.0835 2.5417 0.0000
I 5.0835 7.6252 0.0000
I 7.6252 0.0000 5.0835
```

## Properties
Symmetry   Pm-3n

=====

x) VASP calculation (PBE-GGA) on crystalline Rb3HgI3 at its relaxed geometry.

The structure in extended XYZ format:
```
14
Lattice="5.5286 3.1920 7.4286 -5.5286 3.1920 7.4286 0.0000 -6.3839 7.4286" Properties=species:S:1:pos:R:3 pbc="T T T"
Rb -3.7025 -0.0217 9.2877
Rb -1.8324 -3.2173 12.9983
Rb 1.8701 -3.1956 9.2876
Rb -1.8701 3.1955 12.9983
Rb 1.8324 3.2173 9.2877
Rb 3.7025 0.0217 12.9983
Hg 0.0000 0.0000 3.6936
Hg 0.0000 0.0000 18.5924
I -1.8104 -3.1766 9.2725
I -3.6562 -0.0205 13.0134
I -1.8458 3.1561 9.2725
I 1.8458 -3.1561 13.0134
I 3.6562 0.0205 9.2726
I 1.8103 3.1766 13.0134
```

## Properties
Symmetry   R-3

=====

The structure with the least stability is w).

=====

w) VASP calculation (PBE-GGA) on crystalline Rb3HgI6 at its relaxed geometry.

The structure in extended XYZ format:
```
10
Lattice="0.0000 6.4165 6.4165 6.4165 0.0000 6.4165 6.4165 6.4165 0.0000" Properties=species:S:1:pos:R:3 pbc="T T T"
Rb 0.0000 0.0000 0.0000
Rb 3.2083 3.2083 3.2083
Rb 9.6248 9.6248 9.6248
Hg 6.4165 6.4165 6.4165
I 6.4165 6.4165 3.4371
I 6.4165 3.4371 6.4165
I 9.3959 6.4165 6.4165
I 3.4371 6.4165 6.4165
I 6.4165 9.3959 6.4165
I 6.4165 6.4165 9.3959
```

## Properties
Symmetry   Fm-3m

=====

x) VASP calculation (PBE-GGA) on crystalline Rb3HgI6 at its relaxed geometry.

The structure in extended XYZ format:
```
20
Lattice="7.8324 -10.1105 0.0000 7.8324 10.1105 0.0000 0.0000 0.0000 6.9155" Properties=species:S:1:pos:R:3 pbc="T T T"
Rb 7.8324 7.7085 3.4577
Rb 4.9557 2.3883 3.2930
Rb 4.9557 -2.3883 6.7507
Rb 10.7091 2.3883 3.2930
Rb 10.7091 -2.3883 6.7507
Rb 7.8324 -7.7085 0.0000
Hg 7.8324 4.1154 6.1567
Hg 7.8324 -4.1154 2.6990
I 5.4567 5.4772 5.2926
I 2.5171 0.0480 5.0855
I 2.5171 -0.0480 1.6278
I 7.8324 4.2867 2.0617
I 10.2082 5.4772 5.2926
I 7.8324 1.3659 5.4282
I 7.8324 -1.3659 1.9705
I 5.4567 -5.4772 1.8349
I 7.8324 -4.2867 5.5194
I 13.1478 0.0480 5.0855
I 13.1478 -0.0480 1.6278
I 10.2082 -5.4772 1.8349
```

## Properties
Symmetry   Cmc2_1

=====

The structure with the least stability is w).

=====

w) VASP calculation (PBE-GGA) on crystalline Rb2HgI2 at its relaxed geometry.

The structure in extended XYZ format:
```
10
Lattice="10.1893 0.0000 0.0000 0.0000 10.1893 0.0000 0.0000 0.0000 4.5863" Properties=species:S:1:pos:R:3 pbc="T T T"
Rb 1.4757 3.6189 0.0000
Rb 3.6189 8.7136 0.0000
Rb 6.5704 1.4757 0.0000
Rb 8.7136 6.5704 0.0000
Hg 0.0000 0.0000 0.0000
Hg 5.0947 5.0947 0.0000
I 1.5752 6.6699 2.2931
I 3.5195 1.5752 2.2931
I 6.6699 8.6141 2.2931
I 8.6141 3.5195 2.2931
```

## Properties
Symmetry   P4/mbm

=====

x) VASP calculation (PBE-GGA) on crystalline Rb2HgI2 at its relaxed geometry.

The structure in extended XYZ format:
```
5
Lattice="-3.5013 3.5013 6.7260 3.5013 -3.5013 6.7260 3.5013 3.5013 -6.7260" Properties=species:S:1:pos:R:3 pbc="T T T"
Rb 3.5013 0.0000 3.3630
Rb 0.0000 3.5013 3.3630
Hg 0.0000 0.0000 0.0000
I 0.0000 0.0000 4.2275
I 0.0000 0.0000 9.2245
```

## Properties
Symmetry   I4/mmm

=====

The structure with the least stability is x).

=====

w) VASP calculation (PBE-GGA) on crystalline RbHgSbI2 at its relaxed geometry.

The structure in extended XYZ format:
```
5
Lattice="6.9522 0.0000 0.0000 0.0000 6.9522 0.0000 0.0000 0.0000 7.9347" Properties=species:S:1:pos:R:3 pbc="T T T"
Rb 0.0000 0.0000 0.0000
Hg 3.4761 3.4761 3.9673
Sb 0.0000 0.0000 3.9673
I 0.0000 3.4761 0.0000
I 3.4761 0.0000 0.0000
```

## Properties
Symmetry   P4/mmm

=====

x) VASP calculation (PBE-GGA) on crystalline RbHgSbI2 at its relaxed geometry.

The structure in extended XYZ format:
```
5
Lattice="6.4364 0.0000 0.0000 0.0000 6.4364 0.0000 0.0000 0.0000 5.5635" Properties=species:S:1:pos:R:3 pbc="T T T"
Rb 0.0000 0.0000 0.0000
Hg 3.2182 3.2182 2.7817
Sb 3.2182 3.2182 0.0000
I 0.0000 3.2182 2.7817
I 3.2182 0.0000 2.7817
```

## Properties
Symmetry   P4/mmm

=====

The structure with the least stability is w).

=====

w) VASP calculation (PBE-GGA) on crystalline RbHg2SeI at its relaxed geometry.

The structure in extended XYZ format:
```
5
Lattice="6.7695 0.0000 0.0000 0.0000 6.7695 0.0000 0.0000 0.0000 5.6075" Properties=species:S:1:pos:R:3 pbc="T T T"
Rb 0.0000 0.0000 0.0000
Hg 0.0000 3.3848 2.8038
Hg 3.3848 0.0000 2.8038
Se 3.3848 3.3848 0.0000
I 3.3848 3.3848 2.8038
```

## Properties
Symmetry   P4/mmm

=====

x) VASP calculation (PBE-GGA) on crystalline RbHg2SeI at its relaxed geometry.

The structure in extended XYZ format:
```
5
Lattice="5.4552 0.0000 0.0000 0.0000 5.4552 0.0000 0.0000 0.0000 7.0293" Properties=species:S:1:pos:R:3 pbc="T T T"
Rb 0.0000 0.0000 0.0000
Hg 0.0000 2.7276 3.5147
Hg 2.7276 0.0000 3.5147
Se 0.0000 0.0000 3.5147
I 2.7276 2.7276 0.0000
```

## Properties
Symmetry   P4/mmm

=====

The structure with the least stability is w).

=====

w) VASP calculation (PBE-GGA) on crystalline RbSrHgI2 at its relaxed geometry.

The structure in extended XYZ format:
```
5
Lattice="6.9156 0.0000 0.0000 0.0000 6.9156 0.0000 0.0000 0.0000 6.0210" Properties=species:S:1:pos:R:3 pbc="T T T"
Rb 0.0000 0.0000 0.0000
Sr 3.4578 3.4578 0.0000
Hg 0.0000 0.0000 3.0105
I 0.0000 3.4578 3.0105
I 3.4578 0.0000 3.0105
```

## Properties
Symmetry   P4/mmm

=====

x) VASP calculation (PBE-GGA) on crystalline RbSrHgI2 at its relaxed geometry.

The structure in extended XYZ format:
```
5
Lattice="6.9571 0.0000 0.0000 0.0000 6.9571 0.0000 0.0000 0.0000 5.9013" Properties=species:S:1:pos:R:3 pbc="T T T"
Rb 0.0000 0.0000 0.0000
Sr 3.4785 3.4785 0.0000
Hg 3.4785 3.4785 2.9506
I 0.0000 3.4785 2.9506
I 3.4785 0.0000 2.9506
```

## Properties
Symmetry   P4/mmm

=====

The structure with the least stability is w).